## La2Nd2Y7 (PBE)

Data for a relaxed structure of La2Nd2Y7.

As for the total energy: -0.42059 Ry per atom. The energy above the most stable polymorph in this dataset is 0.0 kJ/mol of atoms. As for the total magnetization: 0.0000 μB per atom.

The space group is C2/m (No. 12) and the conventional cell measures 11.429, 11.763 and 6.144 Å, with angles of 90.00, 113.45 and 90.00 degrees. Symmetry generates all atoms from La at (0.000, 0.213, 0.000), Nd at (0.236, 0.000, 0.087), Y at (0.000, 0.000, 0.500), Y at (0.094, 0.500, 0.308) and Y at (0.172, 0.237, 0.670).

***

## Nd3MnN5 (PBE)

Data for a relaxed structure of Nd3MnN5.

As for the total energy: -0.60446 Ry per atom. The value obtained for the uncorrected formation energy is -8.92 eV per formula unit. As for the total magnetization: 0.0409 μB per atom.

The space group is I4/mcm (No. 140) and the conventional cell measures 6.746, 6.746 and 11.062 Å, with angles of 90.00, 90.00 and 90.00 degrees. Symmetry generates all atoms from Nd at (0.000, 0.000, 0.250), Nd at (0.174, 0.326, 0.000), Mn at (0.000, 0.500, 0.250), N at (0.000, 0.000, 0.000) and N at (0.143, 0.357, 0.346).

***

## ErTc3Ge2 (PBE)

Data for a relaxed structure of ErTc3Ge2.

As for the total energy: -0.57735 Ry per atom. The energy above the most stable polymorph in this dataset is 0.0 kJ/mol of atoms. As for the total magnetization: 0.0000 μB per atom.

The space group is C2/m (No. 12) and the conventional cell measures 15.398, 4.148 and 7.495 Å, with angles of 90.00, 118.82 and 90.00 degrees. Symmetry generates all atoms from Er at (0.137, 0.000, 0.061), Tc at (0.049, 0.000, 0.404), Tc at (0.088, 0.500, 0.656), Tc at (0.203, 0.500, 0.477), Ge at (0.022, 0.500, 0.183) and Ge at (0.205, 0.000, 0.745).

***

## K2PaPt2S4 (PBE)

Data for a relaxed structure of K2PaPt2S4.

As for the total energy: -0.40847 Ry per atom. The value obtained for the uncorrected formation energy is -9.74 eV per formula unit. As for the total magnetization: 0.0000 μB per atom.

The space group is C2/m (No. 12) and the conventional cell measures 14.616, 3.893 and 7.857 Å, with angles of 90.00, 109.38 and 90.00 degrees. Symmetry generates all atoms from K at (0.130, 0.000, 0.068), Pa at (0.000, 0.000, 0.500), Pt at (0.194, 0.500, 0.546), S at (0.020, 0.500, 0.273) and S at (0.188, 0.000, 0.706).

***

## Sr2TcOs (PBE)

Data for a relaxed structure of Sr2TcOs.

As for the total energy: -0.37306 Ry per atom. The energy above the most stable polymorph in this dataset is 64.4 kJ/mol of atoms. As for the total magnetization: 0.2851 μB per atom.

The space group is P4/mmm (No. 123) and the conventional cell measures 4.217, 4.217 and 4.958 Å, with angles of 90.00, 90.00 and 90.00 degrees. Symmetry generates all atoms from Sr at (0.000, 0.500, 0.000), Tc at (0.000, 0.000, 0.500) and Os at (0.500, 0.500, 0.500).

***

## LiNiP2 (PBE)

Data for a relaxed structure of LiNiP2.

As for the total energy: -0.34883 Ry per atom. As for the total magnetization: 0.0000 μB per atom.

The space group is P4mm (No. 99) and the conventional cell measures 3.277, 3.277 and 4.591 Å, with angles of 90.00, 90.00 and 90.00 degrees. Symmetry generates all atoms from Li at (0.000, 0.000, 0.000), Ni at (0.500, 0.500, 0.274), P at (0.000, 0.000, 0.500) and P at (0.500, 0.500, 0.762).

***

## Er3ZnAs2Rh9 (PBE)

Data for a relaxed structure of Er3ZnAs2Rh9.

As for the total energy: -0.46942 Ry per atom. As for the total magnetization: 0.0000 μB per atom.

The space group is P-3m1 (No. 164) and the conventional cell measures 6.2277, 6.2277 and 9.0653 Å, with angles of 90.00, 90.00 and 120.00 degrees. Symmetry generates all atoms from Er at (0.0000, 0.0000, 0.0000), Er at (0.3333, 0.6667, 0.7349), Zn at (0.0000, 0.0000, 0.5000), As at (0.3333, 0.6667, 0.1753), Rh at (0.0000, 0.5000, 0.0000) and Rh at (0.1398, 0.2796, 0.2712).

***

## Dy4In5Au2 (PBE)

Data for a relaxed structure of Dy4In5Au2.

As for the total energy: -0.30021 Ry per atom. As for the total magnetization: 0.0000 μB per atom.

The space group is P2/m (No. 10) and the conventional cell measures 7.788, 3.639 and 9.837 Å, with angles of 90.00, 94.74 and 90.00 degrees. Symmetry generates all atoms from Dy at (0.185, 0.000, 0.367), Dy at (0.235, 0.000, 0.937), In at (0.171, 0.500, 0.647), In at (0.459, 0.500, 0.182), In at (0.500, 0.500, 0.500) and Au at (0.073, 0.500, 0.138).

***

## Sr2CaMgRh (PBE)

Data for a relaxed structure of Sr2CaMgRh.

As for the total energy: -0.21751 Ry per atom. The energy above the most stable polymorph in this dataset is 2.4 kJ/mol of atoms. As for the total magnetization: 0.0000 μB per atom.

The space group is P4/mmm (No. 123) and the conventional cell measures 5.808, 5.808 and 5.288 Å, with angles of 90.00, 90.00 and 90.00 degrees. Symmetry generates all atoms from Sr at (0.000, 0.500, 0.000), Ca at (0.000, 0.000, 0.500), Mg at (0.500, 0.500, 0.500) and Rh at (0.500, 0.500, 0.000).

***

## Ba12Na3Ca5 (PBE)

Data for a relaxed structure of Ba12Na3Ca5.

As for the total energy: -0.09715 Ry per atom. As for the total magnetization: 0.1803 μB per atom.

The space group is Ia-3d (No. 230) and the conventional cell measures 22.449, 22.449 and 22.449 Å, with angles of 90.00, 90.00 and 90.00 degrees. Symmetry generates all atoms from Ba at (0.015, 0.083, 0.647), Na at (0.000, 0.250, 0.125), Ca at (0.000, 0.000, 0.000) and Ca at (0.000, 0.250, 0.375).

***

## KRb3Ag2F6 (PBE)

Data for a relaxed structure of KRb3Ag2F6.

As for the total energy: -0.27405 Ry per atom. The value obtained for the uncorrected formation energy is -23.81 eV per formula unit. As for the total magnetization: 0.0000 μB per atom.

The space group is P-3m1 (No. 164) and the conventional cell measures 6.8599, 6.8599 and 7.0807 Å, with angles of 90.00, 90.00 and 120.00 degrees. Symmetry generates all atoms from K at (0.0000, 0.0000, 0.0000), Rb at (0.0000, 0.0000, 0.5000), Rb at (0.3333, 0.6667, 0.0883), Ag at (0.3333, 0.6667, 0.6131) and F at (0.1711, 0.3422, 0.7783).

***

## K2AcTmSe4 (PBE)

Data for a relaxed structure of K2AcTmSe4.

As for the total energy: -0.35622 Ry per atom. The value obtained for the uncorrected formation energy is -14.06 eV per formula unit. As for the total magnetization: 0.0000 μB per atom.

The space group is P2/m (No. 10) and the conventional cell measures 7.591, 4.372 and 8.121 Å, with angles of 90.00, 108.07 and 90.00 degrees. Symmetry generates all atoms from K at (0.000, 0.000, 0.000), K at (0.500, 0.500, 0.000), Ac at (0.000, 0.500, 0.500), Tm at (0.500, 0.000, 0.500), Se at (0.259, 0.000, 0.714) and Se at (0.283, 0.500, 0.295).

***

## Cs2Tl4HgBi3 (PBE)

Data for a relaxed structure of Cs2Tl4HgBi3.

As for the total energy: -0.18280 Ry per atom. As for the total magnetization: 0.0000 μB per atom.

The space group is P-4m2 (No. 115) and the conventional cell measures 5.450, 5.450 and 13.498 Å, with angles of 90.00, 90.00 and 90.00 degrees. Symmetry generates all atoms from Cs at (0.000, 0.500, 0.249), Tl at (0.000, 0.000, 0.000), Tl at (0.000, 0.500, 0.624), Tl at (0.500, 0.500, 0.000), Hg at (0.000, 0.000, 0.500), Bi at (0.000, 0.500, 0.872) and Bi at (0.500, 0.500, 0.500).

***

## PuPaOs (PBE)

Data for a relaxed structure of PuPaOs.

As for the total energy: -0.86987 Ry per atom. The energy above the most stable polymorph in this dataset is 1.0 kJ/mol of atoms. As for the total magnetization: 1.6882 μB per atom.

The space group is P3m1 (No. 156) and the conventional cell measures 4.7061, 4.7061 and 3.1495 Å, with angles of 90.00, 90.00 and 120.00 degrees. Symmetry generates all atoms from Pu at (0.0000, 0.0000, 0.0000), Pa at (0.6667, 0.3333, 0.7145) and Os at (0.3333, 0.6667, 0.3684).

***

## LiCaTeSeF (PBE)

Data for a relaxed structure of LiCaTeSeF.

As for the total energy: -0.31110 Ry per atom. The value obtained for the uncorrected formation energy is -8.75 eV per formula unit. The energy above the most stable polymorph in this dataset is 1.2 kJ/mol of atoms. As for the total magnetization: 0.0000 μB per atom.

The space group is Cm (No. 8) and the conventional cell measures 11.171, 4.365 and 6.000 Å, with angles of 90.00, 121.60 and 90.00 degrees. Symmetry generates all atoms from Li at (0.000, 0.000, 0.000), Ca at (0.406, 0.000, 0.518), Te at (0.146, 0.500, 0.375), Se at (0.378, 0.000, 0.997) and F at (0.470, 0.500, 0.662).

***

## Sc6PSe5 (PBE)

Data for a relaxed structure of Sc6PSe5.

As for the total energy: -0.49279 Ry per atom. The value obtained for the uncorrected formation energy is -19.64 eV per formula unit. As for the total magnetization: 0.0000 μB per atom.

The space group is C2/m (No. 12) and the conventional cell measures 6.679, 11.593 and 6.695 Å, with angles of 90.00, 109.35 and 90.00 degrees. Symmetry generates all atoms from Sc at (0.230, 0.000, 0.265), Sc at (0.232, 0.154, 0.734), P at (0.000, 0.000, 0.500), Se at (0.000, 0.172, 0.000), Se at (0.000, 0.334, 0.500) and Se at (0.000, 0.500, 0.000).

***

## Cd2HgI (PBE)

Data for a relaxed structure of Cd2HgI.

As for the total energy: -0.07422 Ry per atom. The value obtained for the uncorrected formation energy is -0.36 eV per formula unit. The energy above the most stable polymorph in this dataset is 0.6 kJ/mol of atoms. As for the total magnetization: 0.0000 μB per atom.

The space group is R3m (No. 160, hexagonal axes) and the conventional cell measures 4.1899, 4.1899 and 24.2634 Å, with angles of 90.00, 90.00 and 120.00 degrees. Symmetry generates all atoms from Cd at (0.0000, 0.0000, 0.0000), Cd at (0.0000, 0.0000, 0.1845), Hg at (0.0000, 0.0000, 0.5930) and I at (0.0000, 0.0000, 0.4210).

***

## BTeSN2 (PBE)

Data for a relaxed structure of BTeSN2.

As for the total energy: -0.34090 Ry per atom. The value obtained for the uncorrected formation energy is 7.41 eV per formula unit. The energy above the most stable polymorph in this dataset is 0.0 kJ/mol of atoms. As for the total magnetization: 0.0170 μB per atom.

The space group is P4/mmm (No. 123) and the conventional cell measures 3.416, 3.416 and 6.945 Å, with angles of 90.00, 90.00 and 90.00 degrees. Symmetry generates all atoms from B at (0.000, 0.000, 0.000), Te at (0.000, 0.000, 0.500), S at (0.500, 0.500, 0.500) and N at (0.000, 0.500, 0.000).

***

## TaTlN2 (PBE)

Data for a relaxed structure of TaTlN2.

As for the total energy: -0.47841 Ry per atom. The value obtained for the uncorrected formation energy is 4.83 eV per formula unit. The energy above the most stable polymorph in this dataset is 167.5 kJ/mol of atoms. As for the total magnetization: 0.0000 μB per atom.

The space group is Fm-3m (No. 225) and the conventional cell measures 5.851, 5.851 and 5.851 Å, with angles of 90.00, 90.00 and 90.00 degrees. Symmetry generates all atoms from Ta at (0.000, 0.000, 0.000), Tl at (0.000, 0.000, 0.500) and N at (0.250, 0.250, 0.250).

***

## LiTiIn (PBE)

Data for a relaxed structure of LiTiIn.

As for the total energy: -0.31739 Ry per atom. The energy above the most stable polymorph in this dataset is 3.6 kJ/mol of atoms. As for the total magnetization: 0.0976 μB per atom.

The space group is Amm2 (No. 38) and the conventional cell measures 4.945, 3.090 and 14.723 Å, with angles of 90.00, 90.00 and 90.00 degrees. Symmetry generates all atoms from Li at (0.000, 0.000, 0.000), Li at (0.000, 0.000, 0.333), Ti at (0.500, 0.000, 0.196), Ti at (0.500, 0.000, 0.543), In at (0.000, 0.000, 0.659) and In at (0.500, 0.000, 0.873).